(1)
LiY2W: relaxed, PBE.

## Properties
space-group type: P4/mmm (123)
energy of formation from the pure elements: 0.450 eV/atom
crystal system: tetragonal

Geometry as POSCAR:
```
LiY2W
1.0
-0.482 -0.849 -5.221
-4.952 -1.767 0.744
-1.136 3.022 -0.386
Y Li W
2 1 1
Direct
0.000 0.000 0.000
0.500 0.500 0.000
0.500 0.000 0.500
0.000 0.500 0.500
```

***

(2)
LiYW2: relaxed, PBE.

## Properties
space-group type: P4/mmm (123)
energy of formation from the pure elements: 0.781 eV/atom
crystal system: tetragonal

Geometry as POSCAR:
```
LiYW2
1.0
3.350 0.000 0.000
0.000 3.350 0.000
0.000 0.000 6.565
Y Li W
1 1 2
Direct
0.500 0.500 0.250
0.500 0.500 0.750
0.000 0.000 0.571
0.000 0.000 0.929
```

***

(3)
LiY2W: relaxed, PBE.

## Properties
space-group type: P4mm (99)
energy of formation from the pure elements: 0.570 eV/atom
crystal system: tetragonal

Geometry as POSCAR:
```
LiY2W
1.0
-1.873 1.099 -2.618
0.757 -2.829 -1.730
-6.332 -3.552 3.039
Li Y W
1 2 1
Direct
0.000 0.000 0.548
0.500 0.500 0.315
0.000 0.000 0.940
0.500 0.500 0.697
```

***

The records above give, respectively, energy relative to the lowest polymorph listed for this composition values of 0.423 1.601 0.903 eV per formula unit.